(1)
Compound: AcGdLu
Source: OQMD
Functional: PBE
Structure: optimized geometry

Output
* energy of formation: 0.666 eV/atom
* electronic total energy: -3.762 eV/atom
* excess energy over the best structure of this formula in the dataset: 0.0 meV/atom

Unit cell a=7.9171 b=7.9171 c=7.9171 alpha=90.00 beta=90.00 gamma=90.00
Closest atoms and distances in Å follow each position.
Space group F-43m (No. 216)
Symmetry-distinct sites (fractional):
Ac  0.0000  0.0000  0.0000 x4  4 Lu 3.43
Gd  0.0000  0.0000  0.5000 x4  4 Lu 3.43
Lu  0.2500  0.2500  0.2500 x4  4 Gd 3.43, 4 Ac 3.43

---

(2)
Compound: AcGdNO
Source: OQMD
Functional: PBE
Structure: optimized geometry

Output
* electronic total energy: -7.470 eV/atom
* excess energy over the best structure of this formula in the dataset: 55.5 meV/atom

Unit cell a=4.0573 b=7.0085 c=6.0126 alpha=90.00 beta=90.00 gamma=90.00
Closest atoms and distances in Å follow each position.
Space group Pmc2_1 (No. 26)
Symmetry-distinct sites (fractional):
Ac  0.0000  0.1568  0.0000 x2  2 N 2.53-2.55, 2 O 2.61
Gd  0.5000  0.3263  0.5124 x2  2 O 2.26-2.27, 2 N 2.28
N  0.0000  0.1999  0.4186 x2  2 Gd 2.28, 2 Ac 2.53-2.55
O  0.5000  0.3703  0.8867 x2  2 Gd 2.26-2.27

---

(3)
Compound: AcGdNO
Source: OQMD
Functional: PBE
Structure: optimized geometry

Output
* electronic total energy: -7.443 eV/atom
* excess energy over the best structure of this formula in the dataset: 82.1 meV/atom

Unit cell a=7.0737 b=8.1161 c=5.9409 alpha=90.00 beta=90.00 gamma=90.00
Closest atoms and distances in Å follow each position.
Space group Pca2_1 (No. 29)
Symmetry-distinct sites (fractional):
Ac  0.0730  0.1256  0.0000 x4  3 N 2.48-2.64, 1 O 2.72
Gd  0.0947  0.6235  0.9651 x4  1 N 2.21, 3 O 2.25-2.35
N  0.0815  0.1523  0.4431 x4  1 Gd 2.21
O  0.0947  0.5806  0.5903 x4  3 Gd 2.25-2.35

---

(4)
Compound: AcGdNO
Source: OQMD
Functional: PBE
Structure: optimized geometry

Output
* electronic total energy: -7.390 eV/atom
* excess energy over the best structure of this formula in the dataset: 135.1 meV/atom

Unit cell a=4.9400 b=4.9400 c=6.1867 alpha=90.00 beta=90.00 gamma=90.00
Closest atoms and distances in Å follow each position.
Space group P4/nmm (No. 129, origin choice 2)
Symmetry-distinct sites (fractional):
Ac  0.2500  0.7500  0.0000 x2  4 N 2.58
Gd  0.2500  0.2500  0.4714 x2  1 N 2.16
N  0.2500  0.2500  0.1229 x2  1 Gd 2.16
O  0.2500  0.7500  0.5000 x2  4 Gd 2.48

---

(5)
Compound: AcGdNO
Source: OQMD
Functional: PBE
Structure: optimized geometry

Output
* electronic total energy: -7.526 eV/atom
* excess energy over the best structure of this formula in the dataset: 0.0 meV/atom

Unit cell a=4.1435 b=7.5222 c=5.1607 alpha=90.00 beta=90.00 gamma=90.00
Closest atoms and distances in Å follow each position.
Space group Pmc2_1 (No. 26)
Symmetry-distinct sites (fractional):
Ac  0.0000  0.1632  0.0000 x2  2 N 2.51, 2 O 2.61
Gd  0.5000  0.3458  0.4999 x2  1 N 2.27, 2 O 2.30
N  0.5000  0.3523  0.9985 x2  1 Gd 2.27, 2 Ac 2.51
O  0.0000  0.2127  0.5003 x2  2 Gd 2.30

---

(6)
Compound: AcGdNO
Source: OQMD
Functional: PBE
Structure: optimized geometry

Output
* electronic total energy: -7.277 eV/atom
* excess energy over the best structure of this formula in the dataset: 248.2 meV/atom

Unit cell a=4.5655 b=4.5655 c=9.1457 alpha=90.00 beta=90.00 gamma=90.00
Closest atoms and distances in Å follow each position.
Space group P4/nmm (No. 129, origin choice 2)
Symmetry-distinct sites (fractional):
Ac  0.2500  0.2500  0.1174 x2  4 O 2.52
Gd  0.2500  0.7500  0.5000 x2  4 N 2.34
N  0.2500  0.2500  0.5569 x2  4 Gd 2.34
O  0.2500  0.7500  0.0000 x2  4 Ac 2.52

---

(7)
Compound: AcGdNO
Source: OQMD
Functional: PBE
Structure: optimized geometry

Output
* electronic total energy: -7.515 eV/atom
* excess energy over the best structure of this formula in the dataset: 10.1 meV/atom

Unit cell a=7.0140 b=8.6099 c=5.2419 alpha=90.00 beta=90.00 gamma=90.00
Closest atoms and distances in Å follow each position.
Space group Pca2_1 (No. 29)
Symmetry-distinct sites (fractional):
Ac  0.0579  0.1308  0.0000 x4  1 N 2.44, 4 O 2.49-2.69
Gd  0.0878  0.6153  0.9998 x4  2 N 2.28-2.31, 1 O 2.31
N  0.0825  0.6097  0.5013 x4  2 Gd 2.28-2.31, 1 Ac 2.44
O  0.0891  0.1578  0.4997 x4  1 Gd 2.31, 1 Ac 2.49

---

(8)
Compound: NaAcGd
Source: OQMD
Functional: PBE
Structure: optimized geometry

Output
* electronic total energy: -2.651 eV/atom
* excess energy over the best structure of this formula in the dataset: 0.0 meV/atom

Unit cell a=7.8801 b=7.8801 c=7.8801 alpha=90.00 beta=90.00 gamma=90.00
Closest atoms and distances in Å follow each position.
Space group F-43m (No. 216)
Symmetry-distinct sites (fractional):
Na  0.0000  0.0000  0.0000 x4  4 Gd 3.41, 4 Ac 3.41
Ac  0.2500  0.2500  0.7500 x4  4 Na 3.41
Gd  0.2500  0.2500  0.2500 x4  4 Na 3.41

---

(9)
Compound: AcNdGd
Source: OQMD
Functional: PBE
Structure: optimized geometry

Output
* energy of formation: 0.683 eV/atom
* electronic total energy: -3.825 eV/atom
* excess energy over the best structure of this formula in the dataset: 0.0 meV/atom

Unit cell a=8.0629 b=8.0629 c=8.0629 alpha=90.00 beta=90.00 gamma=90.00
Closest atoms and distances in Å follow each position.
Space group F-43m (No. 216)
Symmetry-distinct sites (fractional):
Ac  0.0000  0.0000  0.0000 x4  4 Nd 3.49
Nd  0.2500  0.2500  0.7500 x4  4 Gd 3.49, 4 Ac 3.49
Gd  0.0000  0.0000  0.5000 x4  4 Nd 3.49

---

(10)
Compound: AcGdO3
Source: OQMD
Functional: PBE
Structure: optimized geometry

Output
* electronic total energy: -8.084 eV/atom

Unit cell a=6.1827 b=6.1827 c=14.7887 alpha=90.00 beta=90.00 gamma=120.00
Closest atoms and distances in Å follow each position.
Space group R-3c (No. 167, hexagonal axes)
Symmetry-distinct sites (fractional):
Ac  0.0000  0.0000  0.2500 x6  3 O 2.41
Gd  0.0000  0.0000  0.0000 x6  6 O 2.27
O  0.0000  0.3903  0.2500 x18  2 Gd 2.27, 1 Ac 2.41

---

(11)
Compound: AcGdO3
Source: OQMD
Functional: PBE
Structure: optimized geometry

Output
* electronic total energy: -8.003 eV/atom

Unit cell a=4.1092 b=4.1092 c=5.1892 alpha=90.00 beta=90.00 gamma=90.00
Closest atoms and distances in Å follow each position.
Space group P4mm (No. 99)
Symmetry-distinct sites (fractional):
Ac  0.0000  0.0000  0.0000 x1  4 O 2.49
Gd  0.5000  0.5000  0.5721 x1  5 O 2.17-2.21
O  0.0000  0.5000  0.7279 x2  2 Gd 2.21
O  0.5000  0.5000  0.1538 x1  1 Gd 2.17

---

(12)
Compound: AcGdO3
Source: OQMD
Functional: PBE
Structure: optimized geometry

Output
* electronic total energy: -8.136 eV/atom

Unit cell a=6.2248 b=8.6729 c=6.0294 alpha=90.00 beta=90.00 gamma=90.00
Closest atoms and distances in Å follow each position.
Space group Pnma (No. 62)
Symmetry-distinct sites (fractional):
Ac  0.0488  0.2500  0.0139 x4  4 O 2.45-2.60
Gd  0.0000  0.0000  0.5000 x4  6 O 2.28-2.31
O  0.0548  0.7500  0.3784 x4  2 Gd 2.31, 1 Ac 2.45
O  0.1957  0.5649  0.8062 x8  2 Gd 2.28-2.30, 1 Ac 2.46